Computed, not measured: a relaxed ZrTeNO2 crystal at the PBE-GGA level of DFT.

a = 4.089 Å, b = 4.089 Å, c = 4.509 Å
α = 90.00°, β = 90.00°, γ = 90.00°
Positions (direct):
Te (0.500, 0.500, 0.500)
N (0.000, 0.000, 0.500)
O (0.500, 0.000, 0.000)
Zr (0.000, 0.000, 0.000)
O (0.000, 0.500, 0.000)

Output
Space group: P4/mmm
Formation energy from raw total energies: -0.895 eV per atom
Crystal system: tetragonal